This record from Alexandria describes an optimized crystal structure of K2ZnF. The functional is PBE-GGA.

Unit cell a=3.409 b=3.409 c=8.601 alpha=90.00 beta=90.00 gamma=90.00
Fractional positions:
Zn 0.000 0.000 0.500
K 0.500 0.500 0.187
K 0.500 0.500 0.813
F 0.000 0.000 0.000

Results
energy relative to the elements, uncorrected	-1.1527	eV/atom
DOS at the Fermi energy	1.1	states/eV/cell
E above lowest polymorph	0.116	eV per atom